# TaSb2Cl, optimized geometry, DFT PBE-GGA
# Volume: 30.538 Å³ per atom
# Formation energy (no corrections): -82 meV per atom
# Energy relative to the lowest polymorph listed for this composition: 88 meV/atom
# Raw total energy: -5.568 eV/atom
data_TaSb2Cl
_cell_length_a 3.084
_cell_length_b 5.060
_cell_length_c 15.657
_cell_angle_alpha 90.00
_cell_angle_beta 90.00
_cell_angle_gamma 90.00
_space_group_name_H-M_alt 'I m m 2'
_space_group_IT_number 44
loop_
_space_group_symop_operation_xyz
'x,y,z'
'-x,-y,z'
'-x,y,z'
'x,-y,z'
'x+1/2,y+1/2,z+1/2'
'-x+1/2,-y+1/2,z+1/2'
'-x+1/2,y+1/2,z+1/2'
'x+1/2,-y+1/2,z+1/2'
loop_
_atom_site_label
_atom_site_fract_x
_atom_site_fract_y
_atom_site_fract_z
_atom_site_occupancy
Ta1 0.000 0.000 0.000 1
Sb1 0.000 0.000 0.549 1
Sb2 0.000 0.500 0.663 1
Cl1 0.000 0.500 0.377 1